Compound: B5C7
Source: Alexandria
Functional: GGA-PBE
Structure: relaxed

a b c (Å): 4.2139 2.6053 7.2427
angles (deg): 90.00 93.06 90.00
Space group Pm (No. 6)
Inequivalent atoms, fractional coordinates:
B  0.0000  0.0000  0.0000 x1
B  0.0953  0.0000  0.2878 x1
B  0.3885  0.0000  0.7389 x1
B  0.5235  0.5000  0.4806 x1
B  0.8074  0.5000  0.2847 x1
C  0.0535  0.0000  0.6297 x1
C  0.3187  0.0000  0.4771 x1
C  0.3280  0.0000  0.1072 x1
C  0.5257  0.5000  0.1199 x1
C  0.6016  0.5000  0.7747 x1
C  0.7859  0.5000  0.9651 x1
C  0.8607  0.5000  0.6219 x1

Energy   -7.7624 eV/atom
Density   2.9 g/cm3
DFT formation energy   0.4005 eV per atom